(1)
A plane-wave DFT calculation with PBE was carried out for an optimized crystal structure of SnBRhO2.

As for the total energy: -4.96 eV per atom. The total magnetization is 0.00 μB per cell.

The space group is P4/mmm (No. 123) and the conventional cell measures 3.782, 3.782 and 5.566 Å, with angles of 90.00, 90.00 and 90.00 degrees. Symmetry generates all atoms from Sn at (0.000, 0.000, 0.000), B at (0.000, 0.000, 0.500), Rh at (0.500, 0.500, 0.500) and O at (0.000, 0.500, 0.000).

---

(2)
A plane-wave DFT calculation with PBE was carried out for an optimized crystal structure of SrBRhO4.

As for the total energy: -6.74 eV per atom. The total magnetization is 0.00 μB per cell.

The space group is Cmcm (No. 63) and the conventional cell measures 6.046, 8.873 and 6.478 Å, with angles of 90.00, 90.00 and 90.00 degrees. Symmetry generates all atoms from Sr at (0.000, 0.000, 0.000), B at (0.000, 0.378, 0.250), Rh at (0.000, 0.328, 0.750), O at (0.000, 0.284, 0.062) and O at (0.193, 0.485, 0.250).

---

(3)
A plane-wave DFT calculation with PBE was carried out for an optimized crystal structure of SrBRhO5.

As for the total energy: -6.77 eV per atom. The total magnetization is 2.91 μB per cell.

The space group is C2/c (No. 15) and the conventional cell measures 6.501, 8.779 and 7.043 Å, with angles of 90.00, 114.68 and 90.00 degrees. Symmetry generates all atoms from Sr at (0.000, 0.154, 0.250), B at (0.000, 0.198, 0.750), Rh at (0.000, 0.500, 0.000), O at (0.000, 0.426, 0.250), O at (0.097, 0.286, 0.629) and O at (0.175, 0.088, 0.905).

---

(4)
A plane-wave DFT calculation with PBE was carried out for an optimized crystal structure of SrB2Rh2O6.

As for the total energy: -6.88 eV per atom. The total magnetization is 2.02 μB per cell.

The space group is P-3 (No. 147) and the conventional cell measures 4.9929, 4.9929 and 6.8695 Å, with angles of 90.00, 90.00 and 120.00 degrees. Symmetry generates all atoms from Sr at (0.0000, 0.0000, 0.0000), B at (0.3333, 0.6667, 0.7373), Rh at (0.3333, 0.6667, 0.4003) and O at (0.0475, 0.6518, 0.7563).